[1]
Here is crystalline Tl2ReAs at its relaxed geometry from the Alexandria database. Energies are from GGA-PBE.

Values from the calculation:
crystal system	tetragonal
symmetry	No. 119
energy relative to the lowest polymorph listed for this composition	735	meV per atom

Unit cell a=4.394 b=4.394 c=8.601 alpha=90.00 beta=90.00 gamma=90.00
Atoms (fractional coordinates):
Tl: 0.000 0.000 0.000
Tl: 0.000 0.500 0.250
Tl: 0.500 0.000 0.750
Tl: 0.500 0.500 0.500
Re: 0.000 0.000 0.500
Re: 0.500 0.500 0.000
As: 0.000 0.500 0.750
As: 0.500 0.000 0.250

***

[2]
Here is crystalline TlReAs4 at its relaxed geometry from the Alexandria database. Energies are from GGA-PBE.

Values from the calculation:
crystal system	cubic
symmetry	No. 216

Unit cell a=5.567 b=5.567 c=5.567 alpha=60.00 beta=60.00 gamma=60.00
Atoms (fractional coordinates):
Tl: 0.000 0.000 0.000
Re: 0.250 0.250 0.250
As: 0.125 0.625 0.625
As: 0.625 0.125 0.625
As: 0.625 0.625 0.125
As: 0.625 0.625 0.625

***

[3]
Here is crystalline TlRe2As at its relaxed geometry from the Alexandria database. Energies are from GGA-PBE.

Values from the calculation:
crystal system	orthorhombic
symmetry	No. 35
energy relative to the lowest polymorph listed for this composition	274	meV per atom

Unit cell a=2.969 b=4.921 c=10.648 alpha=90.00 beta=90.00 gamma=90.00
Atoms (fractional coordinates):
Tl: 0.000 0.000 0.000
Tl: 0.500 0.500 0.000
Re: 0.000 0.000 0.462
Re: 0.000 0.500 0.262
Re: 0.500 0.000 0.262
Re: 0.500 0.500 0.462
As: 0.000 0.500 0.667
As: 0.500 0.000 0.667

***

[4]
Here is crystalline TlRe2As at its relaxed geometry from the Alexandria database. Energies are from GGA-PBE.

Values from the calculation:
crystal system	cubic
symmetry	No. 225
energy relative to the lowest polymorph listed for this composition	683	meV per atom

Unit cell a=6.431 b=6.431 c=6.431 alpha=90.00 beta=90.00 gamma=90.00
Atoms (fractional coordinates):
Tl: 0.000 0.000 0.000
Tl: 0.000 0.500 0.500
Tl: 0.500 0.000 0.500
Tl: 0.500 0.500 0.000
Re: 0.250 0.250 0.250
Re: 0.250 0.250 0.750
Re: 0.250 0.750 0.250
Re: 0.250 0.750 0.750
Re: 0.750 0.250 0.250
Re: 0.750 0.250 0.750
Re: 0.750 0.750 0.250
Re: 0.750 0.750 0.750
As: 0.000 0.000 0.500
As: 0.000 0.500 0.000
As: 0.500 0.000 0.000
As: 0.500 0.500 0.500

***

[5]
Here is crystalline Tl2ReAs at its relaxed geometry from the Alexandria database. Energies are from GGA-PBE.

Values from the calculation:
crystal system	orthorhombic
symmetry	No. 35
energy relative to the lowest polymorph listed for this composition	169	meV per atom

Unit cell a=3.401 b=5.190 c=10.643 alpha=90.00 beta=90.00 gamma=90.00
Atoms (fractional coordinates):
Tl: 0.000 0.000 0.000
Tl: 0.000 0.500 0.300
Tl: 0.500 0.000 0.300
Tl: 0.500 0.500 0.000
Re: 0.000 0.500 0.766
Re: 0.500 0.000 0.766
As: 0.000 0.000 0.604
As: 0.500 0.500 0.604

***

[6]
Here is crystalline TlReAs2 at its relaxed geometry from the Alexandria database. Energies are from GGA-PBE.

Values from the calculation:
crystal system	tetragonal
symmetry	No. 119
energy relative to the lowest polymorph listed for this composition	926	meV per atom

Unit cell a=4.202 b=4.202 c=8.543 alpha=90.00 beta=90.00 gamma=90.00
Atoms (fractional coordinates):
Tl: 0.000 0.000 0.000
Tl: 0.500 0.500 0.500
Re: 0.000 0.500 0.250
Re: 0.500 0.000 0.750
As: 0.000 0.000 0.500
As: 0.000 0.500 0.750
As: 0.500 0.000 0.250
As: 0.500 0.500 0.000

***

[7]
Here is crystalline TlReAs2 at its relaxed geometry from the Alexandria database. Energies are from GGA-PBE.

Values from the calculation:
crystal system	monoclinic
symmetry	No. 8
energy relative to the lowest polymorph listed for this composition	94	meV per atom

Unit cell a=8.678 b=3.205 c=6.779 alpha=90.00 beta=106.13 gamma=90.00
Atoms (fractional coordinates):
Tl: 0.000 0.000 0.000
Tl: 0.500 0.500 0.000
Re: 0.131 0.500 0.411
Re: 0.631 0.000 0.411
As: 0.184 0.000 0.700
As: 0.338 0.000 0.370
As: 0.684 0.500 0.700
As: 0.838 0.500 0.370

***

[8]
Here is crystalline TlRe2As at its relaxed geometry from the Alexandria database. Energies are from GGA-PBE.

Values from the calculation:
crystal system	orthorhombic
symmetry	No. 71
energy relative to the lowest polymorph listed for this composition	545	meV per atom

Unit cell a=2.987 b=5.132 c=9.082 alpha=90.00 beta=90.00 gamma=90.00
Atoms (fractional coordinates):
Tl: 0.000 0.000 0.000
Tl: 0.500 0.500 0.500
Re: 0.000 0.500 0.218
Re: 0.000 0.500 0.782
Re: 0.500 0.000 0.282
Re: 0.500 0.000 0.718
As: 0.000 0.000 0.500
As: 0.500 0.500 0.000

***

[9]
Here is crystalline TlRe3As at its relaxed geometry from the Alexandria database. Energies are from GGA-PBE.

Values from the calculation:
crystal system	cubic
symmetry	No. 221
energy relative to the lowest polymorph listed for this composition	1748	meV per atom

Unit cell a=4.953 b=4.953 c=4.953 alpha=90.00 beta=90.00 gamma=90.00
Atoms (fractional coordinates):
Tl: 0.000 0.000 0.000
Re: 0.000 0.000 0.500
Re: 0.000 0.500 0.000
Re: 0.500 0.000 0.000
As: 0.500 0.500 0.500

***

[10]
Here is crystalline TlV2ReAs at its relaxed geometry from the Alexandria database. Energies are from GGA-PBE.

Values from the calculation:
crystal system	tetragonal
symmetry	No. 123

Unit cell a=4.712 b=4.712 c=5.228 alpha=90.00 beta=90.00 gamma=90.00
Atoms (fractional coordinates):
Tl: 0.000 0.000 0.000
V: 0.000 0.500 0.500
V: 0.500 0.000 0.500
Re: 0.000 0.000 0.500
As: 0.500 0.500 0.000

***

[11]
Here is crystalline Tl2VReAs at its relaxed geometry from the Alexandria database. Energies are from GGA-PBE.

Values from the calculation:
crystal system	tetragonal
symmetry	No. 123

Unit cell a=5.313 b=5.313 c=4.608 alpha=90.00 beta=90.00 gamma=90.00
Atoms (fractional coordinates):
Tl: 0.000 0.500 0.000
Tl: 0.500 0.000 0.000
V: 0.000 0.000 0.500
Re: 0.500 0.500 0.500
As: 0.000 0.000 0.000

***

[12]
Here is crystalline TmReAs at its relaxed geometry from the Alexandria database. Energies are from GGA-PBE.

Values from the calculation:
crystal system	monoclinic
symmetry	No. 8

Unit cell a=6.781 b=3.911 c=10.224 alpha=90.00 beta=102.83 gamma=90.00
Atoms (fractional coordinates):
Tm: 0.000 0.000 0.000
Tm: 0.221 0.000 0.662
Tm: 0.500 0.500 0.000
Tm: 0.721 0.500 0.662
Re: 0.109 0.000 0.327
Re: 0.241 0.500 0.225
Re: 0.609 0.500 0.327
Re: 0.741 0.000 0.225
As: 0.109 0.500 0.826
As: 0.327 0.500 0.482
As: 0.609 0.000 0.826
As: 0.827 0.000 0.482

***

[13]
Here is crystalline U2ReAs at its relaxed geometry from the Alexandria database. Energies are from GGA-PBE.

Values from the calculation:
crystal system	tetragonal
symmetry	No. 123
energy relative to the lowest polymorph listed for this composition	0	meV per atom

Unit cell a=3.681 b=3.681 c=5.701 alpha=90.00 beta=90.00 gamma=90.00
Atoms (fractional coordinates):
U: 0.000 0.000 0.225
U: 0.000 0.000 0.775
Re: 0.500 0.500 0.500
As: 0.500 0.500 0.000

***

[14]
Here is crystalline UReAs2 at its relaxed geometry from the Alexandria database. Energies are from GGA-PBE.

Values from the calculation:
crystal system	trigonal
symmetry	No. 166

Unit cell a=3.037 b=3.037 c=28.889 alpha=90.00 beta=90.00 gamma=120.00
Atoms (fractional coordinates):
U: 0.000 0.000 0.000
U: 0.333 0.667 0.667
U: 0.667 0.333 0.333
Re: 0.000 0.000 0.500
Re: 0.333 0.667 0.167
Re: 0.667 0.333 0.833
As: 0.000 0.000 0.102
As: 0.000 0.000 0.898
As: 0.333 0.667 0.564
As: 0.333 0.667 0.769
As: 0.667 0.333 0.231
As: 0.667 0.333 0.436

***

[15]
Here is crystalline U2ReAs at its relaxed geometry from the Alexandria database. Energies are from GGA-PBE.

Values from the calculation:
crystal system	trigonal
symmetry	No. 166
energy relative to the lowest polymorph listed for this composition	290	meV per atom

Unit cell a=3.019 b=3.019 c=28.915 alpha=90.00 beta=90.00 gamma=120.00
Atoms (fractional coordinates):
U: 0.000 0.000 0.247
U: 0.000 0.000 0.753
U: 0.333 0.667 0.420
U: 0.333 0.667 0.913
U: 0.667 0.333 0.087
U: 0.667 0.333 0.580
Re: 0.000 0.000 0.500
Re: 0.333 0.667 0.167
Re: 0.667 0.333 0.833
As: 0.000 0.000 0.000
As: 0.333 0.667 0.667
As: 0.667 0.333 0.333

***

The evaluated total DFT energy (no corrections) for the records listed, in turn: -4.41, -4.56, -7.38, -6.97, -4.97, -5.04, -5.87, -7.11, -5.46, -6.36, -4.48, -7.58, -10.12, -8.13, -9.83 eV per atom.
The evaluated calculated density for the records listed, in turn: 13.4, 9.4, 13.9, 16.3, 11.8, 11.9, 9.9, 15.5, 11.5, 8.1, 9.2, 10.8, 15.8, 12.4, 16.1 Mg/m³.
The evaluated ΔH_f (0 K) for the records listed, in turn: 1.052, 1.007, 0.602, 1.011, 0.486, 0.990, 0.159, 0.873, 3.408, 1.182, 1.706, -0.393, -0.204, 0.129, 0.085 eV per atom.